This record from Alexandria describes an optimized crystal structure of PuZrAs2. The functional is PBE.

Structure (CIF):
```
data_PuZrAs2
_symmetry_space_group_name_H-M 'P 1'
_symmetry_Int_Tables_number 1
_cell_length_a 3.982
_cell_length_b 3.982
_cell_length_c 6.963
_cell_angle_alpha 73.38
_cell_angle_beta 73.38
_cell_angle_gamma 60.00
loop_
_symmetry_equiv_pos_as_xyz
'x,y,z'
loop_
_atom_site_label
_atom_site_type_symbol
_atom_site_fract_x
_atom_site_fract_y
_atom_site_fract_z
Zr1 Zr 0.000 0.000 0.000
As1 As 0.745 0.745 0.764
As2 As 0.255 0.255 0.236
Pu1 Pu 0.500 0.500 0.500
```

## Properties
theoretical density = 8.92 g/cm³
symmetry = R-3m
crystal system = trigonal
formation energy = -1127 meV per atom
E above lowest polymorph = 0.0 kJ per mole of atoms



This record from Alexandria describes an optimized crystal structure of Co3P. The functional is PBE.

Structure (CIF):
```
data_Co3P
_symmetry_space_group_name_H-M 'P 1'
_symmetry_Int_Tables_number 1
_cell_length_a 3.934
_cell_length_b 4.278
_cell_length_c 4.964
_cell_angle_alpha 90.00
_cell_angle_beta 90.00
_cell_angle_gamma 90.00
loop_
_symmetry_equiv_pos_as_xyz
'x,y,z'
loop_
_atom_site_label
_atom_site_type_symbol
_atom_site_fract_x
_atom_site_fract_y
_atom_site_fract_z
Co1 Co 0.000 0.657 0.500
Co2 Co 0.000 0.169 0.749
Co3 Co 0.000 0.169 0.251
Co4 Co 0.500 0.831 0.249
Co5 Co 0.500 0.831 0.751
Co6 Co 0.500 0.343 0.000
P1 P 0.000 0.686 0.000
P2 P 0.500 0.314 0.500
```

## Properties
theoretical density = 8.26 g/cm³
symmetry = Pmmn
crystal system = orthorhombic
formation energy = -156 meV per atom
E above lowest polymorph = 18.1 kJ per mole of atoms



This record from Alexandria describes an optimized crystal structure of PtN. The functional is PBE.

Structure (CIF):
```
data_PtN
_symmetry_space_group_name_H-M 'P 1'
_symmetry_Int_Tables_number 1
_cell_length_a 6.422
_cell_length_b 6.422
_cell_length_c 6.422
_cell_angle_alpha 90.00
_cell_angle_beta 90.00
_cell_angle_gamma 90.00
loop_
_symmetry_equiv_pos_as_xyz
'x,y,z'
loop_
_atom_site_label
_atom_site_type_symbol
_atom_site_fract_x
_atom_site_fract_y
_atom_site_fract_z
Pt1 Pt 0.682 0.318 0.682
Pt2 Pt 0.682 0.682 0.318
Pt3 Pt 0.182 0.182 0.818
Pt4 Pt 0.818 0.818 0.818
Pt5 Pt 0.182 0.818 0.182
Pt6 Pt 0.318 0.318 0.318
Pt7 Pt 0.318 0.682 0.682
Pt8 Pt 0.818 0.182 0.182
N1 N 0.147 0.147 0.147
N2 N 0.353 0.647 0.353
N3 N 0.647 0.647 0.647
N4 N 0.353 0.353 0.647
N5 N 0.147 0.853 0.853
N6 N 0.853 0.147 0.853
N7 N 0.647 0.353 0.353
N8 N 0.853 0.853 0.147
```

## Properties
theoretical density = 10.49 g/cm³
symmetry = I-43m
crystal system = cubic
formation energy from raw total energies = 1.226 eV/atom



This record from Alexandria describes an optimized crystal structure of Pr4Sm2Te3N2. The functional is PBE.

Structure (CIF):
```
data_Pr4Sm2Te3N2
_symmetry_space_group_name_H-M 'P 1'
_symmetry_Int_Tables_number 1
_cell_length_a 4.763
_cell_length_b 4.763
_cell_length_c 13.712
_cell_angle_alpha 100.00
_cell_angle_beta 100.00
_cell_angle_gamma 90.00
loop_
_symmetry_equiv_pos_as_xyz
'x,y,z'
loop_
_atom_site_label
_atom_site_type_symbol
_atom_site_fract_x
_atom_site_fract_y
_atom_site_fract_z
Sm1 Sm 0.694 0.694 0.389
Sm2 Sm 0.306 0.306 0.611
Pr1 Pr 0.417 0.917 0.834
Pr2 Pr 0.917 0.417 0.834
Pr3 Pr 0.083 0.583 0.166
Pr4 Pr 0.583 0.083 0.166
Te1 Te 0.820 0.820 0.640
Te2 Te 0.180 0.180 0.360
Te3 Te 0.000 0.000 0.000
N1 N 0.610 0.610 0.221
N2 N 0.390 0.390 0.779
```

## Properties
theoretical density = 7.02 g/cm³
symmetry = I4/mmm
crystal system = tetragonal
formation energy from raw total energies = -1.144 eV/atom



This record from Alexandria describes an optimized crystal structure of Li5AlPt6. The functional is PBE.

Structure (CIF):
```
data_Li5AlPt6
_symmetry_space_group_name_H-M 'P 1'
_symmetry_Int_Tables_number 1
_cell_length_a 4.222
_cell_length_b 5.901
_cell_length_c 7.301
_cell_angle_alpha 113.83
_cell_angle_beta 107.42
_cell_angle_gamma 90.00
loop_
_symmetry_equiv_pos_as_xyz
'x,y,z'
loop_
_atom_site_label
_atom_site_type_symbol
_atom_site_fract_x
_atom_site_fract_y
_atom_site_fract_z
Pt1 Pt 0.834 0.085 0.667
Pt2 Pt 0.166 0.417 0.333
Pt3 Pt 0.500 0.252 0.000
Pt4 Pt 0.166 0.915 0.333
Pt5 Pt 0.834 0.583 0.667
Pt6 Pt 0.500 0.748 0.000
Li1 Li 0.667 0.166 0.333
Li2 Li 0.332 0.332 0.664
Li3 Li 0.333 0.834 0.667
Li4 Li 0.668 0.668 0.336
Li5 Li 0.000 0.500 0.000
Al1 Al 0.000 0.000 0.000
```

## Properties
theoretical density = 13.01 g/cm³
symmetry = C2/m
crystal system = monoclinic
formation energy = -684 meV per atom



This record from Alexandria describes an optimized crystal structure of YMnAl2Ge. The functional is PBE.

Structure (CIF):
```
data_YMnAl2Ge
_symmetry_space_group_name_H-M 'P 1'
_symmetry_Int_Tables_number 1
_cell_length_a 4.659
_cell_length_b 4.650
_cell_length_c 4.659
_cell_angle_alpha 90.00
_cell_angle_beta 90.00
_cell_angle_gamma 90.00
loop_
_symmetry_equiv_pos_as_xyz
'x,y,z'
loop_
_atom_site_label
_atom_site_type_symbol
_atom_site_fract_x
_atom_site_fract_y
_atom_site_fract_z
Al1 Al 0.500 0.000 0.000
Al2 Al 0.000 0.000 0.500
Mn1 Mn 0.000 0.000 0.000
Ge1 Ge 0.000 0.500 0.000
Y1 Y 0.500 0.500 0.500
```

## Properties
theoretical density = 4.45 g/cm³
symmetry = P4/mmm
crystal system = tetragonal
formation energy = -173 meV per atom



This record from Alexandria describes an optimized crystal structure of NaTaO3. The functional is PBE.

Structure (CIF):
```
data_NaTaO3
_symmetry_space_group_name_H-M 'P 1'
_symmetry_Int_Tables_number 1
_cell_length_a 5.548
_cell_length_b 3.989
_cell_length_c 5.548
_cell_angle_alpha 90.00
_cell_angle_beta 90.00
_cell_angle_gamma 90.00
loop_
_symmetry_equiv_pos_as_xyz
'x,y,z'
loop_
_atom_site_label
_atom_site_type_symbol
_atom_site_fract_x
_atom_site_fract_y
_atom_site_fract_z
O1 O 0.788 0.981 0.740
O2 O 0.883 0.981 0.240
O3 O 0.383 0.981 0.145
O4 O 0.586 0.481 0.442
O5 O 0.086 0.481 0.942
O6 O 0.288 0.981 0.645
Na1 Na 0.085 0.482 0.441
Na2 Na 0.584 0.482 0.941
Ta1 Ta 0.085 0.981 0.942
Ta2 Ta 0.585 0.981 0.441
```

## Properties
theoretical density = 6.81 g/cm³
symmetry = Amm2
crystal system = orthorhombic
formation energy from raw total energies = -2.647 eV/atom



This record from Alexandria describes an optimized crystal structure of SmDy4Ho2Er. The functional is PBE.

Structure (CIF):
```
data_SmDy4Ho2Er
_symmetry_space_group_name_H-M 'P 1'
_symmetry_Int_Tables_number 1
_cell_length_a 5.006
_cell_length_b 5.003
_cell_length_c 11.206
_cell_angle_alpha 63.50
_cell_angle_beta 90.00
_cell_angle_gamma 90.00
loop_
_symmetry_equiv_pos_as_xyz
'x,y,z'
loop_
_atom_site_label
_atom_site_type_symbol
_atom_site_fract_x
_atom_site_fract_y
_atom_site_fract_z
Dy1 Dy 0.000 0.752 0.748
Dy2 Dy 0.500 0.253 0.748
Dy3 Dy 0.000 0.248 0.252
Dy4 Dy 0.500 0.747 0.252
Ho1 Ho 0.000 0.000 0.000
Ho2 Ho 0.500 0.000 0.500
Er1 Er 0.000 0.500 0.500
Sm1 Sm 0.500 0.500 0.000
```

## Properties
theoretical density = 8.58 g/cm³
symmetry = P4/mmm
crystal system = tetragonal
formation energy = 18 meV per atom



This record from Alexandria describes an optimized crystal structure of CaScTe2. The functional is PBE.

Structure (CIF):
```
data_CaScTe2
_symmetry_space_group_name_H-M 'P 1'
_symmetry_Int_Tables_number 1
_cell_length_a 6.119
_cell_length_b 4.326
_cell_length_c 4.327
_cell_angle_alpha 90.01
_cell_angle_beta 90.00
_cell_angle_gamma 90.00
loop_
_symmetry_equiv_pos_as_xyz
'x,y,z'
loop_
_atom_site_label
_atom_site_type_symbol
_atom_site_fract_x
_atom_site_fract_y
_atom_site_fract_z
Te1 Te 0.500 0.375 0.375
Te2 Te 0.000 0.875 0.875
Sc1 Sc 0.500 0.875 0.875
Ca1 Ca 0.000 0.375 0.375
```

## Properties
theoretical density = 4.93 g/cm³
symmetry = P4/mmm
crystal system = tetragonal
formation energy from raw total energies = -1.307 eV/atom
E above lowest polymorph = 4.1 kJ per mole of atoms



This record from Alexandria describes an optimized crystal structure of Rb3Cd2Sn9. The functional is PBE.

Structure (CIF):
```
data_Rb3Cd2Sn9
_symmetry_space_group_name_H-M 'P 1'
_symmetry_Int_Tables_number 1
_cell_length_a 4.798
_cell_length_b 10.079
_cell_length_c 10.079
_cell_angle_alpha 82.26
_cell_angle_beta 76.23
_cell_angle_gamma 76.23
loop_
_symmetry_equiv_pos_as_xyz
'x,y,z'
loop_
_atom_site_label
_atom_site_type_symbol
_atom_site_fract_x
_atom_site_fract_y
_atom_site_fract_z
Rb1 Rb 0.729 0.271 0.271
Rb2 Rb 0.271 0.729 0.729
Rb3 Rb 0.000 0.000 0.000
Sn1 Sn 0.843 0.459 0.856
Sn2 Sn 0.376 0.292 0.956
Sn3 Sn 0.376 0.956 0.292
Sn4 Sn 0.157 0.144 0.541
Sn5 Sn 0.843 0.856 0.459
Sn6 Sn 0.157 0.541 0.144
Sn7 Sn 0.624 0.044 0.708
Sn8 Sn 0.000 0.500 0.500
Sn9 Sn 0.624 0.708 0.044
Cd1 Cd 0.500 0.354 0.646
Cd2 Cd 0.500 0.646 0.354
```

## Properties
theoretical density = 5.62 g/cm³
symmetry = Immm
crystal system = orthorhombic
formation energy = -114 meV per atom



This record from Alexandria describes an optimized crystal structure of Sr2LiH2. The functional is PBE.

Structure (CIF):
```
data_Sr2LiH2
_symmetry_space_group_name_H-M 'P 1'
_symmetry_Int_Tables_number 1
_cell_length_a 7.591
_cell_length_b 7.591
_cell_length_c 3.614
_cell_angle_alpha 90.00
_cell_angle_beta 90.00
_cell_angle_gamma 90.00
loop_
_symmetry_equiv_pos_as_xyz
'x,y,z'
loop_
_atom_site_label
_atom_site_type_symbol
_atom_site_fract_x
_atom_site_fract_y
_atom_site_fract_z
H1 H 0.871 0.629 0.000
H2 H 0.129 0.371 0.000
H3 H 0.371 0.871 0.000
H4 H 0.629 0.129 0.000
Sr1 Sr 0.673 0.827 0.500
Sr2 Sr 0.827 0.327 0.500
Sr3 Sr 0.327 0.173 0.500
Sr4 Sr 0.173 0.673 0.500
Li1 Li 0.000 0.000 0.000
Li2 Li 0.500 0.500 0.000
```

## Properties
theoretical density = 2.94 g/cm³
symmetry = P4/mbm
crystal system = tetragonal
E above lowest polymorph = 24.3 kJ per mole of atoms



This record from Alexandria describes an optimized crystal structure of BaIn4GaAg2. The functional is PBE.

Structure (CIF):
```
data_BaIn4GaAg2
_symmetry_space_group_name_H-M 'P 1'
_symmetry_Int_Tables_number 1
_cell_length_a 4.936
_cell_length_b 4.936
_cell_length_c 10.468
_cell_angle_alpha 76.36
_cell_angle_beta 76.36
_cell_angle_gamma 60.00
loop_
_symmetry_equiv_pos_as_xyz
'x,y,z'
loop_
_atom_site_label
_atom_site_type_symbol
_atom_site_fract_x
_atom_site_fract_y
_atom_site_fract_z
In1 In 0.596 0.596 0.213
In2 In 0.404 0.404 0.787
In3 In 0.130 0.130 0.611
In4 In 0.870 0.870 0.389
Ba1 Ba 0.000 0.000 0.000
Ag1 Ag 0.241 0.241 0.277
Ag2 Ag 0.759 0.759 0.723
Ga1 Ga 0.500 0.500 0.500
```

## Properties
theoretical density = 6.89 g/cm³
symmetry = R-3m
crystal system = trigonal
formation energy = -144 meV per atom



Question: The lowest theoretical density belongs to which entry?
Answer: Sr2LiH2



Question: theoretical density of number 6 (YMnAl2Ge)?
Answer: 4.45 g/cm³



Question: Which value of theoretical density does entry 11 give?
Answer: 2.94 g/cm³